## Cu2Tc2Mo (PBE-GGA)

Data for crystalline Cu2Tc2Mo at its relaxed geometry.

* energy of formation: 9.70 kcal/mol of atoms
* DOS at the Fermi energy: 0.185 states/eV/atom

Cell: 6.551 6.551 3.178 Å, 90.00 90.00 90.00°
Sites, in units of the cell vectors:
Mo  0.000  0.000  0.000
Mo  0.500  0.500  0.000
Tc  0.172  0.672  0.500
Tc  0.672  0.828  0.500
Tc  0.828  0.328  0.500
Tc  0.328  0.172  0.500
Cu  0.374  0.874  0.000
Cu  0.874  0.626  0.000
Cu  0.626  0.126  0.000
Cu  0.126  0.374  0.000

***

## MgSi (PBE-GGA)

Data for crystalline MgSi at its relaxed geometry.

* E_tot: -6.857 eV per formula unit
* DOS at the Fermi energy: 0.242 states/eV/atom

Cell: 8.751 8.751 4.583 Å, 90.00 90.00 90.00°
Sites, in units of the cell vectors:
Mg  0.431  0.758  0.000
Mg  0.569  0.242  0.000
Mg  0.242  0.431  0.000
Mg  0.758  0.569  0.000
Mg  0.931  0.258  0.500
Mg  0.069  0.742  0.500
Mg  0.742  0.931  0.500
Mg  0.258  0.069  0.500
Si  0.822  0.078  0.000
Si  0.178  0.922  0.000
Si  0.922  0.822  0.000
Si  0.078  0.178  0.000
Si  0.322  0.578  0.500
Si  0.678  0.422  0.500
Si  0.422  0.322  0.500
Si  0.578  0.678  0.500

***

## NpHgPb2O6 (PBE-GGA)

Data for crystalline NpHgPb2O6 at its relaxed geometry.

* E_tot: -66.526 eV per formula unit
* DOS at the Fermi energy: 0.036 states/eV/atom

Cell: 6.130 6.131 6.161 Å, 60.16 60.16 60.00°
Site moments in Bohr magnetons follow the coordinates.
Sites, in units of the cell vectors:
Np  0.319  0.319  0.043  1.23
Hg  0.807  0.807  0.579  -0.01
Pb  0.541  0.542  0.376  0.00
Pb  0.032  0.032  0.903  0.00
O  0.568  0.179  0.254  -0.04
O  0.179  0.998  0.255  -0.04
O  0.998  0.568  0.254  -0.04
O  0.453  0.645  0.783  -0.04
O  0.645  0.119  0.784  -0.04
O  0.119  0.453  0.783  -0.04

***

## PmPr2Dy6Er3 (PBE-GGA)

Data for crystalline PmPr2Dy6Er3 at its relaxed geometry.

* energy of formation: 0.47 kcal/mol of atoms
* DOS at the Fermi energy: 1.340 states/eV/atom

Cell: 6.188 6.188 11.821 Å, 94.99 94.99 119.97°
Sites, in units of the cell vectors:
Pm  0.000  0.000  0.000
Pr  0.333  0.667  0.000
Pr  0.667  0.333  0.000
Dy  0.914  0.581  0.745
Dy  0.753  0.753  0.255
Dy  0.086  0.419  0.255
Dy  0.581  0.914  0.745
Dy  0.247  0.247  0.745
Dy  0.419  0.086  0.255
Er  0.167  0.833  0.500
Er  0.833  0.167  0.500
Er  0.500  0.500  0.500

***

## Ga2Hg3I4 (PBE-GGA)

Data for crystalline Ga2Hg3I4 at its relaxed geometry.

* E_tot: -15.805 eV per formula unit

Cell: 12.593 9.398 9.398 Å, 78.70 122.96 122.96°
Sites, in units of the cell vectors:
Ga  0.300  0.766  0.643
Ga  0.200  0.357  0.234
Ga  0.700  0.234  0.357
Ga  0.800  0.643  0.766
Hg  0.862  0.934  0.644
Hg  0.638  0.356  0.066
Hg  0.138  0.066  0.356
Hg  0.362  0.644  0.934
Hg  0.250  0.586  0.414
Hg  0.750  0.414  0.586
I  0.516  0.095  0.729
I  0.984  0.271  0.905
I  0.484  0.905  0.271
I  0.016  0.729  0.095
I  0.067  0.785  0.574
I  0.433  0.426  0.215
I  0.933  0.215  0.426
I  0.567  0.574  0.785

***

## MgSbSCl2 (PBE-GGA)

Data for crystalline MgSbSCl2 at its relaxed geometry.

* polymorph energy (0 for the lowest one): 0.000 eV/atom
* DOS at the Fermi energy: 0.431 states/eV/atom

Cell: 4.682 4.682 5.281 Å, 90.00 90.00 90.00°
Site moments in Bohr magnetons follow the coordinates.
Sites, in units of the cell vectors:
Sb  0.500  0.500  0.500  0.27
S  0.000  0.000  0.500  -0.02
Mg  0.000  0.000  0.000  0.00
Cl  0.000  0.500  0.000  0.01
Cl  0.500  0.000  0.000  0.01

***

Number 1: total moment 0.0 Bohr magnetons per cell, density 10.21 Mg/m³, V 136.4 Å³ per cell. Number 2: total moment 0.0 Bohr magnetons per cell, density 1.98 Mg/m³, V 351.0 Å³ per cell. Number 3: total moment 1.0 Bohr magnetons per cell, density 9.59 Mg/m³, V 164.1 Å³ per cell. Number 4: total moment 0.0 Bohr magnetons per cell, density 8.19 Mg/m³, V 386.2 Å³ per cell. Number 5: total moment 0.0 Bohr magnetons per cell, density 5.35 Mg/m³, V 775.1 Å³ per cell. Number 6: total moment 0.6 Bohr magnetons per cell, density 3.57 Mg/m³, V 115.8 Å³ per cell.